# 1
# TaInCoMo (PBE-GGA, relaxed)
# - offset from the most stable computed form (kJ per mole of atoms) = 0.0
# - DFT total energy (eV per atom) = -7.933
data_TaInCoMo
_symmetry_space_group_name_H-M 'F -4 3 m'
_symmetry_Int_Tables_number 216
_symmetry_space_group_name_Hall 'F -4 2 3'
_cell_length_a 6.369
_cell_length_b 6.369
_cell_length_c 6.369
_cell_angle_alpha 90.00
_cell_angle_beta 90.00
_cell_angle_gamma 90.00
loop_
_atom_site_label
_atom_site_fract_x
_atom_site_fract_y
_atom_site_fract_z
Ta1 0.000 0.000 0.000
In1 0.000 0.000 0.500
Co1 0.250 0.250 0.750
Mo1 0.250 0.250 0.250


# 2
# YInCoMo (PBE-GGA, relaxed)
# - offset from the most stable computed form (kJ per mole of atoms) = 0.0
# - DFT total energy (eV per atom) = -6.465
data_YInCoMo
_symmetry_space_group_name_H-M 'F -4 3 m'
_symmetry_Int_Tables_number 216
_symmetry_space_group_name_Hall 'F -4 2 3'
_cell_length_a 6.699
_cell_length_b 6.699
_cell_length_c 6.699
_cell_angle_alpha 90.00
_cell_angle_beta 90.00
_cell_angle_gamma 90.00
loop_
_atom_site_label
_atom_site_fract_x
_atom_site_fract_y
_atom_site_fract_z
Y1 0.000 0.000 0.000
In1 0.000 0.000 0.500
Co1 0.250 0.250 0.750
Mo1 0.250 0.250 0.250


# 3
# YInCoMo (PBE-GGA, relaxed)
# - offset from the most stable computed form (kJ per mole of atoms) = 12.4
# - DFT total energy (eV per atom) = -6.336
data_YInCoMo
_symmetry_space_group_name_H-M 'F -4 3 m'
_symmetry_Int_Tables_number 216
_symmetry_space_group_name_Hall 'F -4 2 3'
_cell_length_a 6.666
_cell_length_b 6.666
_cell_length_c 6.666
_cell_angle_alpha 90.00
_cell_angle_beta 90.00
_cell_angle_gamma 90.00
loop_
_atom_site_label
_atom_site_fract_x
_atom_site_fract_y
_atom_site_fract_z
Y1 0.000 0.000 0.000
In1 0.250 0.250 0.250
Co1 0.000 0.000 0.500
Mo1 0.250 0.250 0.750


# 4
# ZrInCoMo (PBE-GGA, relaxed)
# - offset from the most stable computed form (kJ per mole of atoms) = 0.0
# - DFT total energy (eV per atom) = -7.134
data_ZrInCoMo
_symmetry_space_group_name_H-M 'F -4 3 m'
_symmetry_Int_Tables_number 216
_symmetry_space_group_name_Hall 'F -4 2 3'
_cell_length_a 6.485
_cell_length_b 6.485
_cell_length_c 6.485
_cell_angle_alpha 90.00
_cell_angle_beta 90.00
_cell_angle_gamma 90.00
loop_
_atom_site_label
_atom_site_fract_x
_atom_site_fract_y
_atom_site_fract_z
Zr1 0.000 0.000 0.000
In1 0.000 0.000 0.500
Co1 0.250 0.250 0.750
Mo1 0.250 0.250 0.250


# 5
# InCo3N (PBE-GGA, relaxed)
# - DFT total energy (eV per atom) = -6.484
data_InCo3N
_symmetry_space_group_name_H-M 'P m -3 m'
_symmetry_Int_Tables_number 221
_symmetry_space_group_name_Hall '-P 4 2 3'
_cell_length_a 3.838
_cell_length_b 3.838
_cell_length_c 3.838
_cell_angle_alpha 90.00
_cell_angle_beta 90.00
_cell_angle_gamma 90.00
loop_
_atom_site_label
_atom_site_fract_x
_atom_site_fract_y
_atom_site_fract_z
In1 0.000 0.000 0.000
Co1 0.000 0.500 0.500
N1 0.500 0.500 0.500


# 6
# Sc4InCoN2 (PBE-GGA, relaxed)
# - DFT total energy (eV per atom) = -7.496
data_Sc4InCoN2
_symmetry_space_group_name_H-M 'P -6 m 2'
_symmetry_Int_Tables_number 187
_symmetry_space_group_name_Hall 'P -6 2'
_cell_length_a 3.2115
_cell_length_b 3.2115
_cell_length_c 13.9572
_cell_angle_alpha 90.00
_cell_angle_beta 90.00
_cell_angle_gamma 120.00
loop_
_atom_site_label
_atom_site_fract_x
_atom_site_fract_y
_atom_site_fract_z
Sc1 0.0000 0.0000 0.1363
Sc2 0.3333 0.6667 0.3167
In1 0.0000 0.0000 0.5000
Co1 0.3333 0.6667 0.0000
N1 0.6667 0.3333 0.2371


# 7
# InCoW4N2 (PBE-GGA, relaxed)
# - DFT total energy (eV per atom) = -9.531
data_InCoW4N2
_symmetry_space_group_name_H-M 'P -6 m 2'
_symmetry_Int_Tables_number 187
_symmetry_space_group_name_Hall 'P -6 2'
_cell_length_a 2.8527
_cell_length_b 2.8527
_cell_length_c 14.9214
_cell_angle_alpha 90.00
_cell_angle_beta 90.00
_cell_angle_gamma 120.00
loop_
_atom_site_label
_atom_site_fract_x
_atom_site_fract_y
_atom_site_fract_z
In1 0.0000 0.0000 0.0000
Co1 0.6667 0.3333 0.5000
W1 0.0000 0.0000 0.3602
W2 0.6667 0.3333 0.1665
N1 0.3333 0.6667 0.2611


# 8
# Zr4InCoN2 (PBE-GGA, relaxed)
# - DFT total energy (eV per atom) = -8.501
data_Zr4InCoN2
_symmetry_space_group_name_H-M 'P -6 m 2'
_symmetry_Int_Tables_number 187
_symmetry_space_group_name_Hall 'P -6 2'
_cell_length_a 3.2688
_cell_length_b 3.2688
_cell_length_c 13.9846
_cell_angle_alpha 90.00
_cell_angle_beta 90.00
_cell_angle_gamma 120.00
loop_
_atom_site_label
_atom_site_fract_x
_atom_site_fract_y
_atom_site_fract_z
Zr1 0.0000 0.0000 0.1364
Zr2 0.3333 0.6667 0.3222
In1 0.0000 0.0000 0.5000
Co1 0.3333 0.6667 0.0000
N1 0.6667 0.3333 0.2321


# 9
# NaInCo (PBE-GGA, relaxed)
# - DFT total energy (eV per atom) = -3.161
data_NaInCo
_symmetry_space_group_name_H-M 'F -4 3 m'
_symmetry_Int_Tables_number 216
_symmetry_space_group_name_Hall 'F -4 2 3'
_cell_length_a 6.328
_cell_length_b 6.328
_cell_length_c 6.328
_cell_angle_alpha 90.00
_cell_angle_beta 90.00
_cell_angle_gamma 90.00
loop_
_atom_site_label
_atom_site_fract_x
_atom_site_fract_y
_atom_site_fract_z
Na1 0.000 0.000 0.000
In1 0.000 0.000 0.500
Co1 0.250 0.250 0.750


# 10
# NaInCo (PBE-GGA, relaxed)
# - DFT total energy (eV per atom) = -2.700
data_NaInCo
_symmetry_space_group_name_H-M 'F -4 3 m'
_symmetry_Int_Tables_number 216
_symmetry_space_group_name_Hall 'F -4 2 3'
_cell_length_a 6.482
_cell_length_b 6.482
_cell_length_c 6.482
_cell_angle_alpha 90.00
_cell_angle_beta 90.00
_cell_angle_gamma 90.00
loop_
_atom_site_label
_atom_site_fract_x
_atom_site_fract_y
_atom_site_fract_z
Na1 0.000 0.000 0.000
In1 0.250 0.250 0.250
Co1 0.250 0.250 0.750


# 11
# NaNbInCo (PBE-GGA, relaxed)
# - offset from the most stable computed form (kJ per mole of atoms) = 17.4
# - DFT total energy (eV per atom) = -4.805
data_NaNbInCo
_symmetry_space_group_name_H-M 'F -4 3 m'
_symmetry_Int_Tables_number 216
_symmetry_space_group_name_Hall 'F -4 2 3'
_cell_length_a 6.565
_cell_length_b 6.565
_cell_length_c 6.565
_cell_angle_alpha 90.00
_cell_angle_beta 90.00
_cell_angle_gamma 90.00
loop_
_atom_site_label
_atom_site_fract_x
_atom_site_fract_y
_atom_site_fract_z
Na1 0.000 0.000 0.000
Nb1 0.000 0.000 0.500
In1 0.250 0.250 0.750
Co1 0.250 0.250 0.250


# 12
# NaNbInCo (PBE-GGA, relaxed)
# - offset from the most stable computed form (kJ per mole of atoms) = 0.0
# - DFT total energy (eV per atom) = -4.985
data_NaNbInCo
_symmetry_space_group_name_H-M 'F -4 3 m'
_symmetry_Int_Tables_number 216
_symmetry_space_group_name_Hall 'F -4 2 3'
_cell_length_a 6.383
_cell_length_b 6.383
_cell_length_c 6.383
_cell_angle_alpha 90.00
_cell_angle_beta 90.00
_cell_angle_gamma 90.00
loop_
_atom_site_label
_atom_site_fract_x
_atom_site_fract_y
_atom_site_fract_z
Na1 0.000 0.000 0.000
Nb1 0.250 0.250 0.250
In1 0.250 0.250 0.750
Co1 0.000 0.000 0.500